Entry 1:
# Er3BiAu (PBE, optimized geometry)
# M_tot: 0.000 μB per formula unit
# ΔE_f: -0.57 eV per atom
data_Er3BiAu
_space_group_name_H-M_alt 'P 1'
_space_group_IT_number 1
_cell_length_a 5.447
_cell_length_b 6.354
_cell_length_c 8.455
_cell_angle_alpha 90.00
_cell_angle_beta 90.00
_cell_angle_gamma 90.00
loop_
_space_group_symop_operation_xyz
'x,y,z'
loop_
_atom_site_label
_atom_site_type_symbol
_atom_site_fract_x
_atom_site_fract_y
_atom_site_fract_z
Er1 Er 0.000 0.750 0.256
Er2 Er 0.500 0.750 0.634
Er3 Er 0.000 0.250 0.744
Er4 Er 0.500 0.500 0.000
Er5 Er 0.500 0.000 0.000
Er6 Er 0.500 0.250 0.366
Au1 Au 0.500 0.250 0.699
Au2 Au 0.500 0.750 0.301
Bi1 Bi 0.000 0.750 0.852
Bi2 Bi 0.000 0.250 0.148

=====

Entry 2:
# ErBiAu2 (PBE, optimized geometry)
# M_tot: 0.000 μB per formula unit
# ΔE_f: -0.45 eV per atom
data_ErBiAu2
_space_group_name_H-M_alt 'P 1'
_space_group_IT_number 1
_cell_length_a 3.956
_cell_length_b 3.956
_cell_length_c 8.022
_cell_angle_alpha 75.73
_cell_angle_beta 75.73
_cell_angle_gamma 60.00
loop_
_space_group_symop_operation_xyz
'x,y,z'
loop_
_atom_site_label
_atom_site_type_symbol
_atom_site_fract_x
_atom_site_fract_y
_atom_site_fract_z
Au1 Au 0.255 0.255 0.236
Au2 Au 0.079 0.079 0.763
Er1 Er 0.667 0.667 0.000
Bi1 Bi 0.500 0.500 0.501

=====

Entry 3:
# ErBi2Au (PBE, optimized geometry)
# M_tot: 0.000 μB per formula unit
# ΔE_f: -0.42 eV per atom
data_ErBi2Au
_space_group_name_H-M_alt 'P 1'
_space_group_IT_number 1
_cell_length_a 4.303
_cell_length_b 4.901
_cell_length_c 4.901
_cell_angle_alpha 90.00
_cell_angle_beta 90.00
_cell_angle_gamma 90.00
loop_
_space_group_symop_operation_xyz
'x,y,z'
loop_
_atom_site_label
_atom_site_type_symbol
_atom_site_fract_x
_atom_site_fract_y
_atom_site_fract_z
Bi1 Bi 0.000 0.500 0.000
Bi2 Bi 0.000 0.000 0.500
Au1 Au 0.500 0.000 0.000
Er1 Er 0.500 0.500 0.500

=====

ΔE_f of number 3 (ErBi2Au)?
-0.42 eV per atom

=====

What is the formula in the first record?
Er3BiAu